Crystalline Cs4Hg16Pd3 at its relaxed geometry. Source: the Alexandria database, functional PBE-GGA.

a = 7.1933 Å, b = 7.1933 Å, c = 14.1091 Å
α = 90.00°, β = 90.00°, γ = 90.00°
Space group P4/mmm (No. 123)
Inequivalent atoms, fractional coordinates:
Cs  0.0000  0.5000  0.1974
Hg  0.0000  0.0000  0.2045
Hg  0.2342  0.2342  0.3933
Hg  0.2765  0.2765  0.0000
Hg  0.5000  0.5000  0.2708
Pd  0.0000  0.0000  0.0000
Pd  0.0000  0.5000  0.5000

E_form: -0.1498 eV/atom